(1)
Compound: Pr2B2N3
Source: the Alexandria database
Functional: GGA-PBE
Structure: relaxed

Values from the calculation:
Crystal system: monoclinic
Calculated total energy in eV/atom: -7.56
Spin magnetization in μB/atom: 0.000
Formation energy (no corrections) in meV/atom: -723

abc: 10.9710 2.9391 5.2121
angles: 90.00 94.48 90.00
Closest atoms and distances in Å follow each position.
Fractional positions:
Pr 0.1327 0.0000 0.2301  6 N 2.56-2.68
Pr 0.3673 0.5000 0.7699  6 N 2.56-2.68
Pr 0.6327 0.5000 0.2301  6 N 2.56-2.68
Pr 0.8673 0.0000 0.7699  6 N 2.56-2.68
B 0.1014 0.5000 0.6970  1 N 1.45
B 0.3986 0.0000 0.3030  1 N 1.45
B 0.6014 0.0000 0.6970  1 N 1.45
B 0.8986 0.5000 0.3030  1 N 1.45
N 0.0000 0.5000 0.5000  2 B 1.45
N 0.1693 0.0000 0.7455  2 B 1.66
N 0.3307 0.5000 0.2545  2 B 1.66
N 0.5000 0.0000 0.5000  2 B 1.45
N 0.6693 0.5000 0.7455  2 B 1.66
N 0.8307 0.0000 0.2545  2 B 1.66



(2)
Compound: Pr3ScB2N6
Source: the Alexandria database
Functional: GGA-PBE
Structure: relaxed

Values from the calculation:
Crystal system: trigonal
Calculated total energy in eV/atom: -8.22
Spin magnetization in μB/atom: 0.000
Formation energy (no corrections) in meV/atom: -1226

abc: 5.5304 5.5304 6.2994
angles: 90.00 90.00 120.00
Closest atoms and distances in Å follow each position.
Fractional positions:
Pr 0.0000 0.0000 0.0000  6 N 2.50
Pr 0.3333 0.6667 0.6639  1 B 2.56, 9 N 2.79-2.80
Pr 0.6667 0.3333 0.3361  1 B 2.56, 9 N 2.79-2.80
Sc 0.0000 0.0000 0.5000  6 N 2.21
B 0.3333 0.6667 0.2574  3 N 1.46
B 0.6667 0.3333 0.7426  3 N 1.46
N 0.1817 0.3634 0.2848  1 B 1.46
N 0.1817 0.8183 0.2848  1 B 1.46
N 0.3634 0.1817 0.7152  1 B 1.46
N 0.6366 0.8183 0.2848  1 B 1.46
N 0.8183 0.1817 0.7152  1 B 1.46
N 0.8183 0.6366 0.7152  1 B 1.46